Crystalline Ga2Hg2Te5 at its relaxed geometry. Source: Alexandria via LeMat-Bulk, functional GGA-PBE.

```
Ga2Hg2Te5
1.0
3.948 0.000 -0.858
-0.858 6.796 -3.949
1.161 -3.397 14.858
Hg Te Ga
2 5 2
Cartesian
4.121 -1.861 9.454 Hg
0.130 5.261 0.597 Hg
1.407 3.061 6.474 Te
3.760 0.267 7.788 Te
2.845 0.338 3.577 Te
0.492 3.133 2.262 Te
0.000 0.000 0.000 Te
2.305 1.315 1.096 Ga
1.946 2.084 8.955 Ga
```

Calculated values
**E**: -22.9 eV per cell
**Volume**: 350.0 Å³/f.u.
**N(E_F)**: 3.79 states/eV/f.u.
**ρ**: 5.6 g/cm3